! PBE+U NiPd2PbF8, relaxed; values from VASP
&SYSTEM
  ibrav = 0, nat = 12, ntyp = 4
/
ATOMIC_SPECIES
Ni 58.69 Ni.upf
Pd 106.42 Pd.upf
Pb 207.20 Pb.upf
F 19.00 F.upf
CELL_PARAMETERS angstrom
-3.783 1.581 -4.799
-3.783 -2.190 4.554
3.347 4.963 2.001
ATOMIC_POSITIONS crystal
Ni 0.250 0.750 0.500
Pd 0.750 0.250 0.500
Pd 0.500 0.500 0.000
Pb 0.000 0.000 0.000
F 0.359 0.027 0.332
F 0.293 0.498 0.206
F 0.293 0.087 0.794
F 0.695 0.027 0.668
F 0.913 0.707 0.206
F 0.973 0.305 0.332
F 0.973 0.641 0.668
F 0.502 0.707 0.794
! crystal system: tetragonal
! electronic total energy: -4.0752 eV/atom
! space-group type: I-4m2, No. 119
! volume: 16.09 A^3/atom
! magnetic moment: 5.9 μB per formula unit